## RbCe2SeS5 (GGA-PBE)

Data for a relaxed RbCe2SeS5 crystal.

Cell: 9.4302 9.4302 9.4302 Å, 131.08 131.08 71.69°
With the nearest neighbours (Å) after each atom.
Positions (direct):
1 Rb 0.2500 0.2500 0.0000  10 S 3.71-3.82, 4 Se 3.90
2 Rb 0.7500 0.7500 0.0000  10 S 3.71-3.82, 4 Se 3.90
3 Ce 0.1630 0.6630 0.8260  8 S 2.75-2.92
4 Ce 0.3370 0.1630 0.5000  8 S 2.75-2.92
5 Ce 0.6630 0.8370 0.5000  8 S 2.75-2.92
6 Ce 0.8370 0.3370 0.1740  8 S 2.75-2.92
7 Se 0.2500 0.7500 0.5000  4 S 2.65
8 Se 0.7500 0.2500 0.5000  4 S 2.65
9 S 0.0000 0.0000 0.0000  4 Ce 2.92
10 S 0.0304 0.2512 0.5000  1 Se 2.65, 3 Ce 2.75-2.90
11 S 0.2488 0.4696 0.5000  1 Se 2.65, 3 Ce 2.75-2.90
12 S 0.2512 0.7512 0.2208  1 Se 2.65, 3 Ce 2.75-2.90
13 S 0.4696 0.9696 0.2208  1 Se 2.65, 3 Ce 2.75-2.90
14 S 0.5000 0.5000 0.0000  4 Ce 2.92
15 S 0.5304 0.0304 0.7792  1 Se 2.65, 3 Ce 2.75-2.90
16 S 0.7488 0.2488 0.7792  1 Se 2.65, 3 Ce 2.75-2.90
17 S 0.7512 0.5304 0.5000  1 Se 2.65, 3 Ce 2.75-2.90
18 S 0.9696 0.7488 0.5000  1 Se 2.65, 3 Ce 2.75-2.90

Values from the calculation:
D(E_F): 15.15 states/eV per cell
DFT total energy: -95.98 eV per cell
energy relative to the elements, uncorrected: -1226 meV/atom

=====

## RbCeSiS4 (GGA-PBE)

Data for a relaxed RbCeSiS4 crystal.

Cell: 6.5736 6.6671 9.1571 Å, 90.00 107.53 90.00°
With the nearest neighbours (Å) after each atom.
Positions (direct):
1 Rb 0.2255 0.2500 0.4342  8 S 3.45-3.61
2 Rb 0.7745 0.7500 0.5658  8 S 3.45-3.61
3 Ce 0.2679 0.2500 0.9510  6 S 2.87-2.96
4 Ce 0.7321 0.7500 0.0490  6 S 2.87-2.96
5 Si 0.2866 0.7500 0.1749  4 S 2.11-2.14
6 Si 0.7134 0.2500 0.8251  4 S 2.11-2.14
7 S 0.0918 0.7500 0.3213  1 Si 2.11
8 S 0.1004 0.7500 0.9393  1 Si 2.14
9 S 0.4992 0.0004 0.2120  1 Si 2.14
10 S 0.4992 0.4996 0.2120  1 Si 2.14
11 S 0.5008 0.9996 0.7880  1 Si 2.14
12 S 0.5008 0.5004 0.7880  1 Si 2.14
13 S 0.8996 0.2500 0.0607  1 Si 2.14
14 S 0.9082 0.2500 0.6787  1 Si 2.11

Values from the calculation:
D(E_F): 15.62 states/eV per cell
DFT total energy: -77.21 eV per cell
energy relative to the elements, uncorrected: -1396 meV/atom

=====

## Rb3Ce3SmS8 (GGA-PBE)

Data for a relaxed Rb3Ce3SmS8 crystal.

Cell: 9.1395 9.1395 9.1395 Å, 54.43 54.43 54.43°
With the nearest neighbours (Å) after each atom.
Positions (direct):
1 Rb 0.0000 0.5000 0.5000  6 S 3.39-3.42
2 Rb 0.5000 0.0000 0.5000  6 S 3.39-3.42
3 Rb 0.5000 0.5000 0.0000  6 S 3.39-3.42
4 Ce 0.0000 0.0000 0.5000  6 S 2.82-2.84
5 Ce 0.0000 0.5000 0.0000  6 S 2.82-2.84
6 Ce 0.5000 0.0000 0.0000  6 S 2.82-2.84
7 Sm 0.5000 0.5000 0.5000  6 S 2.82
8 S 0.2290 0.7296 0.7296  2 Ce 2.82, 1 Sm 2.82
9 S 0.2311 0.2311 0.2311  3 Ce 2.84
10 S 0.2704 0.2704 0.7710  2 Ce 2.82, 1 Sm 2.82
11 S 0.2704 0.7710 0.2704  2 Ce 2.82, 1 Sm 2.82
12 S 0.7296 0.2290 0.7296  2 Ce 2.82, 1 Sm 2.82
13 S 0.7296 0.7296 0.2290  2 Ce 2.82, 1 Sm 2.82
14 S 0.7689 0.7689 0.7689  3 Ce 2.84
15 S 0.7710 0.2705 0.2704  2 Ce 2.82, 1 Sm 2.82

Values from the calculation:
D(E_F): 9.37 states/eV per cell
DFT total energy: -85.71 eV per cell
energy relative to the elements, uncorrected: -1818 meV/atom